Entry 1:
The following is a DFT calculation (GGA-PBE) of a relaxed TbY6Tm3Th2 crystal.

Output
As for the total magnetization: 0.000 Bohr magnetons per cell. For the formation energy, the calculation gives 32.2 meV/atom. Its total energy is -5.940 eV per atom.

a = 6.1625 Å, b = 6.1625 Å, c = 11.7623 Å
α = 95.02°, β = 95.02°, γ = 119.95°
Last column: nearest neighbours and their distance in Å.
Fractional coordinates of all 12 atoms:
Tb1 0.0000 0.0000 0.0000  6 Th 3.56, 6 Y 3.56
Y1 0.0837 0.4203 0.2494  2 Th 3.54, 6 Y 3.54-3.60, 3 Tm 3.54-3.56, 1 Tb 3.56
Y2 0.2533 0.2533 0.7504  6 Y 3.54-3.60, 2 Th 3.54, 3 Tm 3.54-3.56, 1 Tb 3.56
Y3 0.4203 0.0837 0.2494  2 Th 3.54, 6 Y 3.54-3.60, 3 Tm 3.54-3.56, 1 Tb 3.56
Y4 0.5797 0.9163 0.7506  2 Th 3.54, 6 Y 3.54-3.60, 3 Tm 3.54-3.56, 1 Tb 3.56
Y5 0.7467 0.7467 0.2496  6 Y 3.54-3.60, 2 Th 3.54, 3 Tm 3.54-3.56, 1 Tb 3.56
Y6 0.9163 0.5797 0.7506  2 Th 3.54, 6 Y 3.54-3.60, 3 Tm 3.54-3.56, 1 Tb 3.56
Tm1 0.1664 0.8336 0.5000  6 Y 3.54-3.56, 6 Tm 3.55-3.56
Tm2 0.5000 0.5000 0.5000  6 Y 3.54-3.56, 6 Tm 3.56
Tm3 0.8336 0.1664 0.5000  6 Y 3.54-3.56, 6 Tm 3.55-3.56
Th1 0.3333 0.6667 0.0000  6 Y 3.54, 3 Tb 3.56, 3 Th 3.56
Th2 0.6667 0.3333 0.0000  6 Y 3.54, 3 Tb 3.56, 3 Th 3.56


Entry 2:
The following is a DFT calculation (GGA-PBE) of a relaxed SrLi2UO6 crystal.

Output
As for the total magnetization: 0.000 Bohr magnetons per cell. The raw formation energy is -2.28 eV/atom. Its total energy is -6.934 eV per atom.

a = 7.1141 Å, b = 7.1141 Å, c = 6.9918 Å
α = 115.50°, β = 115.50°, γ = 64.61°
Last column: nearest neighbours and their distance in Å.
Fractional coordinates of all 20 atoms:
Sr1 0.1765 0.8235 0.7500  6 O 2.51-2.70
Sr2 0.8235 0.1765 0.2500  6 O 2.51-2.70
Li1 0.2501 0.2789 0.2130  4 O 1.96-2.14
Li2 0.2789 0.2501 0.7130  4 O 1.96-2.14
Li3 0.7211 0.7499 0.2870  4 O 1.96-2.14
Li4 0.7499 0.7211 0.7870  4 O 1.96-2.14
U1 0.2952 0.7048 0.2500  6 O 2.03-2.07
U2 0.7048 0.2952 0.7500  6 O 2.03-2.07
O1 0.0112 0.7959 0.0160  1 Li 1.96, 1 U 2.03
O2 0.1364 0.5960 0.3512  1 Li 1.98, 1 U 2.07
O3 0.2041 0.9888 0.4840  1 Li 1.96, 1 U 2.03
O4 0.3771 0.3838 0.0674  1 U 2.04, 2 Li 2.11-2.14, 1 O 2.28
O5 0.3838 0.3771 0.5674  1 U 2.04, 2 Li 2.11-2.14, 1 O 2.28
O6 0.4040 0.8636 0.1488  1 Li 1.98, 1 U 2.07
O7 0.5960 0.1364 0.8512  1 Li 1.98, 1 U 2.07
O8 0.6162 0.6229 0.4326  1 U 2.04, 2 Li 2.11-2.14, 1 O 2.28
O9 0.6229 0.6162 0.9326  1 U 2.04, 2 Li 2.11-2.14, 1 O 2.28
O10 0.7959 0.0112 0.5160  1 Li 1.96, 1 U 2.03
O11 0.8636 0.4040 0.6488  1 Li 1.98, 1 U 2.07
O12 0.9888 0.2041 0.9840  1 Li 1.96, 1 U 2.03


Entry 3:
The following is a DFT calculation (GGA-PBE) of a relaxed Mg2CoNi crystal.

Output
The excess energy over the best structure of this formula in the dataset is 0 meV per atom. As for the total magnetization: 1.224 Bohr magnetons per cell. For the formation energy, the calculation gives 20.3 meV/atom. Its total energy is -3.999 eV per atom.

a = 5.0295 Å, b = 5.0295 Å, c = 4.5776 Å
α = 108.52°, β = 108.52°, γ = 32.06°
Last column: nearest neighbours and their distance in Å.
Fractional coordinates of all 4 atoms:
Mg1 0.0000 0.0000 0.0000  4 Co 2.69-2.73, 3 Ni 2.70, 3 Mg 2.78-2.93
Mg2 0.2093 0.2093 0.6319  4 Ni 2.68-2.73, 3 Co 2.69-2.72, 3 Mg 2.78-2.93
Co1 0.4532 0.4532 0.4733  2 Ni 2.43, 5 Mg 2.69-2.72
Ni1 0.7539 0.7539 0.1565  2 Co 2.43, 5 Mg 2.68-2.70


Entry 4:
The following is a DFT calculation (GGA-PBE) of a relaxed AcLa3Os2 crystal.

Output
As for the total magnetization: 0.000 Bohr magnetons per cell. For the formation energy, the calculation gives -74.7 meV/atom. Its total energy is -6.966 eV per atom.

a = 8.9693 Å, b = 8.9693 Å, c = 12.2473 Å
α = 120.39°, β = 120.39°, γ = 28.33°
Last column: nearest neighbours and their distance in Å.
Fractional coordinates of all 12 atoms:
Ac1 0.0803 0.0803 0.1764  3 Os 2.97-3.03
Ac2 0.9197 0.9197 0.8236  3 Os 2.97-3.03
La1 0.1760 0.1760 0.5382  3 Os 2.86-2.91
La2 0.2862 0.2862 0.9178  3 Os 2.82-2.93
La3 0.4464 0.4464 0.2728  3 Os 2.80-3.00
La4 0.5536 0.5536 0.7272  3 Os 2.80-3.00
La5 0.7138 0.7138 0.0822  3 Os 2.82-2.93
La6 0.8240 0.8240 0.4618  3 Os 2.86-2.91
Os1 0.1198 0.1198 0.9229  5 La 2.82-3.00, 1 Ac 3.03
Os2 0.3687 0.3687 0.6345  4 La 2.80-2.91, 2 Ac 2.97
Os3 0.6313 0.6313 0.3655  4 La 2.80-2.91, 2 Ac 2.97
Os4 0.8802 0.8802 0.0771  5 La 2.82-3.00, 1 Ac 3.03


Entry 5:
The following is a DFT calculation (GGA-PBE) of a relaxed IrRuIO2 crystal.

Output
The excess energy over the best structure of this formula in the dataset is 0 meV per atom. As for the total magnetization: 0.000 Bohr magnetons per cell. The raw formation energy is 0.21 eV/atom. Its total energy is -5.709 eV per atom.

a = 3.7232 Å, b = 3.7232 Å, c = 7.2126 Å
α = 90.00°, β = 90.00°, γ = 90.00°
Last column: nearest neighbours and their distance in Å.
Fractional coordinates of all 5 atoms:
Ir1 0.0000 0.0000 0.0000  4 I 2.63
Ru1 0.5000 0.5000 0.5000  4 O 1.86
I1 0.5000 0.5000 0.0000  4 Ir 2.63
O1 0.0000 0.5000 0.5000  2 Ru 1.86
O2 0.5000 0.0000 0.5000  2 Ru 1.86


Entry 6:
The following is a DFT calculation (GGA-PBE) of a relaxed SiHg2Mo crystal.

Output
As for the total magnetization: 0.003 Bohr magnetons per cell. The raw formation energy is 0.61 eV/atom. Its total energy is -3.605 eV per atom.

a = 5.2281 Å, b = 5.2281 Å, c = 3.0463 Å
α = 90.00°, β = 90.00°, γ = 116.92°
Last column: nearest neighbours and their distance in Å.
Fractional coordinates of all 4 atoms:
Si1 0.0000 0.0000 0.0000  2 Mo 2.73, 8 Hg 3.03, 2 Si 3.05
Hg1 0.0000 0.5000 0.5000  4 Hg 2.73-3.05, 4 Mo 3.03, 4 Si 3.03
Hg2 0.5000 0.0000 0.5000  4 Hg 2.73-3.05, 4 Mo 3.03, 4 Si 3.03
Mo1 0.5000 0.5000 0.0000  2 Si 2.73, 8 Hg 3.03, 2 Mo 3.05


Entry 7:
The following is a DFT calculation (GGA-PBE) of a relaxed HgCBr3 crystal.

Output
The excess energy over the best structure of this formula in the dataset is 513 meV per atom. As for the total magnetization: 1.195 Bohr magnetons per cell. The raw formation energy is 1.45 eV/atom. Its total energy is -1.456 eV per atom.

a = 5.5018 Å, b = 5.5018 Å, c = 5.5018 Å
α = 90.00°, β = 90.00°, γ = 90.00°
Last column: nearest neighbours and their distance in Å.
Fractional coordinates of all 5 atoms:
Hg1 0.0000 0.0000 0.0000  6 Br 2.75
C1 0.5000 0.5000 0.5000  12 Br 3.89
Br1 0.0000 0.0000 0.5000  2 Hg 2.75
Br2 0.0000 0.5000 0.0000  2 Hg 2.75
Br3 0.5000 0.0000 0.0000  2 Hg 2.75


Entry 8:
The following is a DFT calculation (GGA-PBE) of a relaxed AcTbAl2Zn2 crystal.

Output
As for the total magnetization: 0.000 Bohr magnetons per cell. For the formation energy, the calculation gives -420.4 meV/atom. Its total energy is -3.549 eV per atom.

a = 4.5546 Å, b = 4.5546 Å, c = 7.9031 Å
α = 90.00°, β = 90.00°, γ = 120.00°
Last column: nearest neighbours and their distance in Å.
Fractional coordinates of all 6 atoms:
Ac1 0.0000 0.0000 0.0000  6 Al 3.48, 6 Zn 3.54
Tb1 0.0000 0.0000 0.5000  6 Zn 3.07, 6 Al 3.12
Al1 0.3333 0.6667 0.2884  3 Zn 2.63
Al2 0.6667 0.3333 0.7116  3 Zn 2.63
Zn1 0.3333 0.6667 0.6995  3 Al 2.63
Zn2 0.6667 0.3333 0.3005  3 Al 2.63


Entry 9:
The following is a DFT calculation (GGA-PBE) of a relaxed H2OsN crystal.

Output
The excess energy over the best structure of this formula in the dataset is 950 meV per atom. As for the total magnetization: 0.000 Bohr magnetons per cell. Its total energy is -5.486 eV per atom.

a = 4.2824 Å, b = 4.2824 Å, c = 4.2824 Å
α = 119.89°, β = 119.89°, γ = 90.20°
Last column: nearest neighbours and their distance in Å.
Fractional coordinates of all 8 atoms:
H1 0.0000 0.0000 0.0000  2 N 1.31
H2 0.0000 0.0000 0.5000  2 N 1.31
H3 0.0000 0.5000 0.0000  2 N 1.31
H4 0.5000 0.0000 0.5000  2 N 1.31
Os1 0.3750 0.6250 0.7500  12 H 2.51, 4 Os 2.62, 4 N 2.62
Os2 0.6250 0.3750 0.2500  12 H 2.51, 4 Os 2.62, 4 N 2.62
N1 0.1250 0.8750 0.2500  4 H 1.31
N2 0.8750 0.1250 0.7500  4 H 1.31


Entry 10:
The following is a DFT calculation (GGA-PBE) of a relaxed RhC2 crystal.

Output
The excess energy over the best structure of this formula in the dataset is 58 meV per atom. As for the total magnetization: 0.000 Bohr magnetons per cell. For the formation energy, the calculation gives 518.9 meV/atom. Its total energy is -8.081 eV per atom.

a = 2.6311 Å, b = 2.6311 Å, c = 4.3619 Å
α = 90.00°, β = 90.00°, γ = 120.34°
Last column: nearest neighbours and their distance in Å.
Fractional coordinates of all 3 atoms:
Rh1 0.0000 0.0000 0.0000  4 C 2.31
C1 0.1651 0.8349 0.5000  3 C 1.51-1.52
C2 0.8349 0.1651 0.5000  3 C 1.51-1.52